1.
# GGA-PBE MgTiP2Rh, relaxed
# N(E_F) = 5.3 states/eV/cell
# Energy of formation from the pure elements = 0.3311 eV per atom
# Crystal system = tetragonal
# M_tot = 0.002 μB/f.u.
# VASP energy = -5.20 eV per atom
data_MgTiP2Rh
_chemical_formula_sum 'Mg1 Ti1 P2 Rh1'
_cell_length_a 4.561
_cell_length_b 4.561
_cell_length_c 4.828
_cell_angle_alpha 90.00
_cell_angle_beta 90.00
_cell_angle_gamma 90.00
_space_group_name_H-M_alt 'P 4/m m m'
_space_group_IT_number 123
_space_group_name_Hall '-P 4 2'
loop_
_atom_site_label
_atom_site_type_symbol
_atom_site_fract_x
_atom_site_fract_y
_atom_site_fract_z
_atom_site_occupancy
Mg1 Mg 0.000 0.000 0.000 1
Ti1 Ti 0.500 0.500 0.000 1
P1 P 0.000 0.500 0.500 1
Rh1 Rh 0.500 0.500 0.500 1

---

2.
# GGA-PBE YMgPRh2, relaxed
# N(E_F) = 6.2 states/eV/cell
# Energy of formation from the pure elements = 1.2860 eV per atom
# Crystal system = tetragonal
# M_tot = 0.000 μB/f.u.
# VASP energy = -4.35 eV per atom
data_YMgPRh2
_chemical_formula_sum 'Y1 Mg1 P1 Rh2'
_cell_length_a 4.825
_cell_length_b 4.825
_cell_length_c 5.573
_cell_angle_alpha 90.00
_cell_angle_beta 90.00
_cell_angle_gamma 90.00
_space_group_name_H-M_alt 'P 4/m m m'
_space_group_IT_number 123
_space_group_name_Hall '-P 4 2'
loop_
_atom_site_label
_atom_site_type_symbol
_atom_site_fract_x
_atom_site_fract_y
_atom_site_fract_z
_atom_site_occupancy
Y1 Y 0.000 0.000 0.000 1
Mg1 Mg 0.000 0.000 0.500 1
P1 P 0.500 0.500 0.500 1
Rh1 Rh 0.000 0.500 0.000 1

---

3.
# GGA-PBE YMgP2Rh5, relaxed
# N(E_F) = 3.5 states/eV/cell
# Energy of formation from the pure elements = -0.5772 eV per atom
# Crystal system = tetragonal
# M_tot = 0.000 μB/f.u.
# VASP energy = -6.76 eV per atom
data_YMgP2Rh5
_chemical_formula_sum 'Y1 Mg1 P2 Rh5'
_cell_length_a 4.127
_cell_length_b 4.127
_cell_length_c 9.447
_cell_angle_alpha 90.00
_cell_angle_beta 90.00
_cell_angle_gamma 90.00
_space_group_name_H-M_alt 'P 4/m m m'
_space_group_IT_number 123
_space_group_name_Hall '-P 4 2'
loop_
_atom_site_label
_atom_site_type_symbol
_atom_site_fract_x
_atom_site_fract_y
_atom_site_fract_z
_atom_site_occupancy
Y1 Y 0.000 0.000 0.000 1
Mg1 Mg 0.000 0.000 0.500 1
P1 P 0.500 0.500 0.237 1
Rh1 Rh 0.000 0.500 0.331 1
Rh2 Rh 0.500 0.500 0.000 1

---

4.
# GGA-PBE Y2MgP3Rh4, relaxed
# N(E_F) = 3.0 states/eV/cell
# Energy of formation from the pure elements = -1.0262 eV per atom
# Crystal system = tetragonal
# M_tot = 0.000 μB/f.u.
# VASP energy = -7.04 eV per atom
data_Y2MgP3Rh4
_chemical_formula_sum 'Y2 Mg1 P3 Rh4'
_cell_length_a 3.944
_cell_length_b 3.944
_cell_length_c 10.714
_cell_angle_alpha 90.00
_cell_angle_beta 90.00
_cell_angle_gamma 90.00
_space_group_name_H-M_alt 'P -4 m 2'
_space_group_IT_number 115
loop_
_space_group_symop_operation_xyz
'x,y,z'
'y,-x,-z'
'-x,-y,z'
'-y,x,-z'
'-x,y,z'
'-y,-x,-z'
'x,-y,z'
'y,x,-z'
loop_
_atom_site_label
_atom_site_type_symbol
_atom_site_fract_x
_atom_site_fract_y
_atom_site_fract_z
_atom_site_occupancy
Y1 Y 0.000 0.500 0.238 1
Mg1 Mg 0.000 0.000 0.500 1
P1 P 0.000 0.500 0.869 1
P2 P 0.500 0.500 0.500 1
Rh1 Rh 0.000 0.000 0.000 1
Rh2 Rh 0.000 0.500 0.656 1
Rh3 Rh 0.500 0.500 0.000 1

---

5.
# GGA-PBE Mg2ZnP2Rh5, relaxed
# N(E_F) = 5.3 states/eV/cell
# Energy of formation from the pure elements = -0.6844 eV per atom
# Crystal system = tetragonal
# M_tot = 0.000 μB/f.u.
# VASP energy = -5.89 eV per atom
data_Mg2ZnP2Rh5
_chemical_formula_sum 'Mg4 Zn2 P4 Rh10'
_cell_length_a 9.433
_cell_length_b 9.433
_cell_length_c 3.302
_cell_angle_alpha 90.00
_cell_angle_beta 90.00
_cell_angle_gamma 90.00
_space_group_name_H-M_alt 'P 4/m b m'
_space_group_IT_number 127
_space_group_name_Hall '-P 4 2ab'
loop_
_atom_site_label
_atom_site_type_symbol
_atom_site_fract_x
_atom_site_fract_y
_atom_site_fract_z
_atom_site_occupancy
Mg1 Mg 0.172 0.328 0.000 1
Zn1 Zn 0.000 0.000 0.000 1
P1 P 0.130 0.630 0.000 1
Rh1 Rh 0.000 0.500 0.500 1
Rh2 Rh 0.074 0.791 0.500 1

---

6.
# GGA-PBE MgPRu2, relaxed
# N(E_F) = 6.6 states/eV/cell
# Energy of formation from the pure elements = 0.0121 eV per atom
# Crystal system = tetragonal
# M_tot = 0.000 μB/f.u.
# VASP energy = -6.38 eV per atom
data_MgPRu2
_chemical_formula_sum 'Mg2 P2 Ru4'
_cell_length_a 3.642
_cell_length_b 3.642
_cell_length_c 8.339
_cell_angle_alpha 90.00
_cell_angle_beta 90.00
_cell_angle_gamma 90.00
_space_group_name_H-M_alt 'I -4 m 2'
_space_group_IT_number 119
_space_group_name_Hall 'I -4 -2'
loop_
_atom_site_label
_atom_site_type_symbol
_atom_site_fract_x
_atom_site_fract_y
_atom_site_fract_z
_atom_site_occupancy
Mg1 Mg 0.000 0.000 0.000 1
P1 P 0.000 0.500 0.750 1
Ru1 Ru 0.000 0.000 0.500 1
Ru2 Ru 0.000 0.500 0.250 1

---

7.
# GGA-PBE MgPRu2, relaxed
# N(E_F) = 8.4 states/eV/cell
# Energy of formation from the pure elements = -0.1574 eV per atom
# Crystal system = orthorhombic
# M_tot = 0.000 μB/f.u.
# VASP energy = -6.55 eV per atom
data_MgPRu2
_chemical_formula_sum 'Mg2 P2 Ru4'
_cell_length_a 4.261
_cell_length_b 2.927
_cell_length_c 9.205
_cell_angle_alpha 90.00
_cell_angle_beta 90.00
_cell_angle_gamma 90.00
_space_group_name_H-M_alt 'A m m 2'
_space_group_IT_number 38
loop_
_space_group_symop_operation_xyz
'x,y,z'
'-x,-y,z'
'-x,y,z'
'x,-y,z'
'x,y+1/2,z+1/2'
'-x,-y+1/2,z+1/2'
'-x,y+1/2,z+1/2'
'x,-y+1/2,z+1/2'
loop_
_atom_site_label
_atom_site_type_symbol
_atom_site_fract_x
_atom_site_fract_y
_atom_site_fract_z
_atom_site_occupancy
Mg1 Mg 0.000 0.000 0.000 1
P1 P 0.500 0.000 0.625 1
Ru1 Ru 0.000 0.000 0.734 1
Ru2 Ru 0.500 0.000 0.352 1

---

8.
# GGA-PBE Mg2PRu2, relaxed
# N(E_F) = 7.8 states/eV/cell
# Energy of formation from the pure elements = 0.4385 eV per atom
# Crystal system = tetragonal
# M_tot = 0.636 μB/f.u.
# VASP energy = -4.99 eV per atom
data_Mg2PRu2
_chemical_formula_sum 'Mg4 P2 Ru4'
_cell_length_a 6.750
_cell_length_b 6.750
_cell_length_c 3.367
_cell_angle_alpha 90.00
_cell_angle_beta 90.00
_cell_angle_gamma 90.00
_space_group_name_H-M_alt 'P 4/m b m'
_space_group_IT_number 127
_space_group_name_Hall '-P 4 2ab'
loop_
_atom_site_label
_atom_site_type_symbol
_atom_site_fract_x
_atom_site_fract_y
_atom_site_fract_z
_atom_site_occupancy
Mg1 Mg 0.135 0.365 0.000 1
P1 P 0.000 0.000 0.000 1
Ru1 Ru 0.168 0.668 0.500 1

---

9.
# GGA-PBE Mg2PRu2, relaxed
# N(E_F) = 8.4 states/eV/cell
# Energy of formation from the pure elements = 0.2654 eV per atom
# Crystal system = tetragonal
# M_tot = 0.000 μB/f.u.
# VASP energy = -5.16 eV per atom
data_Mg2PRu2
_chemical_formula_sum 'Mg4 P2 Ru4'
_cell_length_a 3.427
_cell_length_b 3.427
_cell_length_c 15.631
_cell_angle_alpha 90.00
_cell_angle_beta 90.00
_cell_angle_gamma 90.00
_space_group_name_H-M_alt 'I 4/m m m'
_space_group_IT_number 139
_space_group_name_Hall '-I 4 2'
loop_
_atom_site_label
_atom_site_type_symbol
_atom_site_fract_x
_atom_site_fract_y
_atom_site_fract_z
_atom_site_occupancy
Mg1 Mg 0.000 0.000 0.099 1
P1 P 0.000 0.000 0.500 1
Ru1 Ru 0.000 0.500 0.250 1

---

10.
# GGA-PBE MgPRu3, relaxed
# N(E_F) = 5.8 states/eV/cell
# Energy of formation from the pure elements = 0.0899 eV per atom
# Crystal system = cubic
# M_tot = 0.607 μB/f.u.
# VASP energy = -6.88 eV per atom
data_MgPRu3
_chemical_formula_sum 'Mg1 P1 Ru3'
_cell_length_a 4.359
_cell_length_b 4.359
_cell_length_c 4.359
_cell_angle_alpha 90.00
_cell_angle_beta 90.00
_cell_angle_gamma 90.00
_space_group_name_H-M_alt 'P m -3 m'
_space_group_IT_number 221
_space_group_name_Hall '-P 4 2 3'
loop_
_atom_site_label
_atom_site_type_symbol
_atom_site_fract_x
_atom_site_fract_y
_atom_site_fract_z
_atom_site_occupancy
Mg1 Mg 0.000 0.000 0.000 1
P1 P 0.500 0.500 0.500 1
Ru1 Ru 0.000 0.500 0.500 1

---

11.
# GGA-PBE MgP4Ru4, relaxed
# N(E_F) = 6.9 states/eV/cell
# Energy of formation from the pure elements = -0.3107 eV per atom
# Crystal system = tetragonal
# M_tot = 0.000 μB/f.u.
# VASP energy = -7.01 eV per atom
data_MgP4Ru4
_chemical_formula_sum 'Mg2 P8 Ru8'
_cell_length_a 6.084
_cell_length_b 6.084
_cell_length_c 7.379
_cell_angle_alpha 90.00
_cell_angle_beta 90.00
_cell_angle_gamma 90.00
_space_group_name_H-M_alt 'P 42/n m c'
_space_group_IT_number 137
loop_
_space_group_symop_operation_xyz
'x,y,z'
'-x,-y,-z'
'-y+1/2,x,z+1/2'
'y+1/2,-x,-z+1/2'
'-x+1/2,-y+1/2,z'
'x+1/2,y+1/2,-z'
'y,-x+1/2,z+1/2'
'-y,x+1/2,-z+1/2'
'x+1/2,-y,-z'
'-x+1/2,y,z'
'-y,-x,-z+1/2'
'y,x,z+1/2'
'-x,y+1/2,-z'
'x,-y+1/2,z'
'y+1/2,x+1/2,-z+1/2'
'-y+1/2,-x+1/2,z+1/2'
loop_
_atom_site_label
_atom_site_type_symbol
_atom_site_fract_x
_atom_site_fract_y
_atom_site_fract_z
_atom_site_occupancy
Mg1 Mg 0.250 0.750 0.250 1
P1 P 0.031 0.250 0.064 1
Ru1 Ru 0.018 0.250 0.376 1

---

12.
# GGA-PBE Mg2PRu2, relaxed
# N(E_F) = 3.4 states/eV/cell
# Energy of formation from the pure elements = -0.4329 eV per atom
# Crystal system = tetragonal
# M_tot = 0.000 μB/f.u.
# VASP energy = -5.86 eV per atom
data_Mg2PRu2
_chemical_formula_sum 'Mg4 P2 Ru4'
_cell_length_a 6.044
_cell_length_b 6.044
_cell_length_c 4.378
_cell_angle_alpha 90.00
_cell_angle_beta 90.00
_cell_angle_gamma 90.00
_space_group_name_H-M_alt 'P 4/m b m'
_space_group_IT_number 127
_space_group_name_Hall '-P 4 2ab'
loop_
_atom_site_label
_atom_site_type_symbol
_atom_site_fract_x
_atom_site_fract_y
_atom_site_fract_z
_atom_site_occupancy
Mg1 Mg 0.164 0.336 0.000 1
P1 P 0.000 0.000 0.500 1
Ru1 Ru 0.152 0.652 0.500 1

---

- Which formula does entry 11 have?
  MgP4Ru4